[1]
Below is an optimized crystal structure of BeCrRu, with properties calculated at the PBE level.

CIF file:
```
data_BeCrRu
_chemical_formula_sum 'Be4 Cr4 Ru4'
_cell_length_a 2.879
_cell_length_b 4.220
_cell_length_c 11.610
_cell_angle_alpha 90.00
_cell_angle_beta 90.00
_cell_angle_gamma 90.00
_symmetry_space_group_name_H-M 'F m m 2'
_symmetry_Int_Tables_number 42
_symmetry_space_group_name_Hall 'F 2 -2'
loop_
_atom_site_label
_atom_site_fract_x
_atom_site_fract_y
_atom_site_fract_z
Be1 0.000 0.000 0.000
Cr1 0.000 0.000 0.660
Ru1 0.000 0.000 0.337
```

Calculated values
- Polymorph energy (0 for the lowest one): 369 meV/atom
- Calculated formation energy: 0.20 eV/atom


[2]
Below is an optimized crystal structure of Li2Ac3Nd2Tl4, with properties calculated at the PBE level.

CIF file:
```
data_Li2Ac3Nd2Tl4
_chemical_formula_sum 'Li2 Ac3 Nd2 Tl4'
_cell_length_a 5.2132
_cell_length_b 5.2132
_cell_length_c 15.5674
_cell_angle_alpha 90.00
_cell_angle_beta 90.00
_cell_angle_gamma 120.00
_symmetry_space_group_name_H-M 'P -3 m 1'
_symmetry_Int_Tables_number 164
_symmetry_space_group_name_Hall '-P 3 2"'
loop_
_atom_site_label
_atom_site_fract_x
_atom_site_fract_y
_atom_site_fract_z
Li1 0.3333 0.6667 0.1294
Ac1 0.0000 0.0000 0.0000
Ac2 0.0000 0.0000 0.2470
Nd1 0.3333 0.6667 0.5736
Tl1 0.3333 0.6667 0.3584
Tl2 0.3333 0.6667 0.8747
```

Calculated values
- Calculated formation energy: -0.19 eV/atom


[3]
Below is an optimized crystal structure of Sr2ZrP2, with properties calculated at the PBE level.

CIF file:
```
data_Sr2ZrP2
_chemical_formula_sum 'Sr4 Zr2 P4'
_cell_length_a 8.344
_cell_length_b 8.344
_cell_length_c 3.640
_cell_angle_alpha 90.00
_cell_angle_beta 90.00
_cell_angle_gamma 90.00
_symmetry_space_group_name_H-M 'P 4/m b m'
_symmetry_Int_Tables_number 127
_symmetry_space_group_name_Hall '-P 4 2ab'
loop_
_atom_site_label
_atom_site_fract_x
_atom_site_fract_y
_atom_site_fract_z
Sr1 0.127 0.373 0.000
Zr1 0.000 0.000 0.000
P1 0.178 0.678 0.500
```

Calculated values
- Polymorph energy (0 for the lowest one): 705 meV/atom
- Calculated formation energy: -0.12 eV/atom


[4]
Below is an optimized crystal structure of YTa2Ir, with properties calculated at the PBE level.

CIF file:
```
data_YTa2Ir
_chemical_formula_sum 'Y4 Ta8 Ir4'
_cell_length_a 6.633
_cell_length_b 6.633
_cell_length_c 6.633
_cell_angle_alpha 90.00
_cell_angle_beta 90.00
_cell_angle_gamma 90.00
_symmetry_space_group_name_H-M 'F m -3 m'
_symmetry_Int_Tables_number 225
_symmetry_space_group_name_Hall '-F 4 2 3'
loop_
_atom_site_label
_atom_site_fract_x
_atom_site_fract_y
_atom_site_fract_z
Y1 0.000 0.000 0.000
Ta1 0.250 0.250 0.250
Ir1 0.000 0.000 0.500
```

Calculated values
- Polymorph energy (0 for the lowest one): 270 meV/atom
- Calculated formation energy: 0.09 eV/atom


[5]
Below is an optimized crystal structure of Sm6Co2RhI3, with properties calculated at the PBE level.

CIF file:
```
data_Sm6Co2RhI3
_chemical_formula_sum 'Sm12 Co4 Rh2 I6'
_cell_length_a 7.032
_cell_length_b 12.182
_cell_length_c 8.369
_cell_angle_alpha 90.00
_cell_angle_beta 106.26
_cell_angle_gamma 90.00
_symmetry_space_group_name_H-M 'C 1 2/m 1'
_symmetry_Int_Tables_number 12
_symmetry_space_group_name_Hall '-C 2y'
loop_
_atom_site_label
_atom_site_fract_x
_atom_site_fract_y
_atom_site_fract_z
Sm1 0.218 0.000 0.181
Sm2 0.232 0.328 0.182
Co1 0.000 0.167 0.000
Rh1 0.000 0.500 0.000
I1 0.000 0.000 0.500
I2 0.000 0.334 0.500
```

Calculated values
- Uncorrected formation energy: -8.435 eV/f.u.


[6]
Below is an optimized crystal structure of BaNd2Sn, with properties calculated at the PBE level.

CIF file:
```
data_BaNd2Sn
_chemical_formula_sum 'Ba1 Nd2 Sn1'
_cell_length_a 5.193
_cell_length_b 5.193
_cell_length_c 4.989
_cell_angle_alpha 90.00
_cell_angle_beta 90.00
_cell_angle_gamma 90.00
_symmetry_space_group_name_H-M 'P 4/m m m'
_symmetry_Int_Tables_number 123
_symmetry_space_group_name_Hall '-P 4 2'
loop_
_atom_site_label
_atom_site_fract_x
_atom_site_fract_y
_atom_site_fract_z
Ba1 0.000 0.000 0.000
Nd1 0.000 0.500 0.500
Sn1 0.500 0.500 0.000
```

Calculated values
- Polymorph energy (0 for the lowest one): 0 meV/atom
- Calculated formation energy: -0.26 eV/atom


[7]
Below is an optimized crystal structure of Y8TlGe3Te4, with properties calculated at the PBE level.

CIF file:
```
data_Y8TlGe3Te4
_chemical_formula_sum 'Y24 Tl3 Ge9 Te12'
_cell_length_a 8.5362
_cell_length_b 8.5362
_cell_length_c 21.5456
_cell_angle_alpha 90.00
_cell_angle_beta 90.00
_cell_angle_gamma 120.00
_symmetry_space_group_name_H-M 'R -3 m'
_symmetry_Int_Tables_number 166
_symmetry_space_group_name_Hall '-R 3 2"'
loop_
_atom_site_label
_atom_site_fract_x
_atom_site_fract_y
_atom_site_fract_z
Y1 0.0000 0.0000 0.2390
Y2 0.0108 0.5054 0.7568
Tl1 0.0000 0.0000 0.5000
Ge1 0.0000 0.5000 0.5000
Te1 0.0000 0.0000 0.0000
Te2 0.0000 0.5000 0.0000
```

Calculated values
- Uncorrected formation energy: -17.536 eV/f.u.


[8]
Below is an optimized crystal structure of Re2NiTe, with properties calculated at the PBE level.

CIF file:
```
data_Re2NiTe
_chemical_formula_sum 'Re4 Ni2 Te2'
_cell_length_a 3.125
_cell_length_b 4.374
_cell_length_c 9.371
_cell_angle_alpha 90.00
_cell_angle_beta 90.00
_cell_angle_gamma 90.00
_symmetry_space_group_name_H-M 'I m m m'
_symmetry_Int_Tables_number 71
_symmetry_space_group_name_Hall '-I 2 2'
loop_
_atom_site_label
_atom_site_fract_x
_atom_site_fract_y
_atom_site_fract_z
Re1 0.000 0.000 0.235
Ni1 0.000 0.500 0.000
Te1 0.000 0.500 0.500
```

Calculated values
- Uncorrected formation energy: 2.897 eV/f.u.


VASP energy in eV/atom, matching the order above: -7.346, -3.384, -4.669, -9.671, -5.247, -4.126, -6.127, -7.731